Below is crystalline CsK2WF6 at its relaxed geometry, with properties calculated at the PBE with a Hubbard U level.

Fermi-level density of states, states/eV/cell: 0.00
Final energy, eV per atom: -4.913
SG: P2_1/c, No. 14

abc: 6.474 6.927 9.277
angles: 90.00 88.84 90.00
Last column: magnetic moment on the atom in μB.
Positions (direct):
Cs 0.500 0.000 0.000  0.00
Cs 0.000 0.500 0.500  0.00
K 0.005 0.970 0.275  0.00
K 0.505 0.530 0.775  0.00
K 0.995 0.030 0.725  0.00
K 0.495 0.470 0.225  0.00
W 0.500 0.000 0.500  2.81
W 0.000 0.500 0.000  2.81
F 0.285 0.646 0.022  0.02
F 0.785 0.854 0.522  0.02
F 0.715 0.354 0.978  0.02
F 0.215 0.146 0.478  0.02
F 0.359 0.767 0.387  0.02
F 0.859 0.733 0.887  0.02
F 0.641 0.233 0.613  0.02
F 0.141 0.267 0.113  0.02
F 0.879 0.620 0.196  0.02
F 0.379 0.880 0.696  0.02
F 0.121 0.380 0.804  0.02
F 0.621 0.120 0.304  0.02